[1]
A geometry-optimized La2Y7Ho2 structure. Source: Alexandria via LeMat-Bulk, functional PBE-GGA.

CIF file:
```
data_La2Y7Ho2
_chemical_formula_sum 'La4 Y14 Ho4'
_cell_length_a 10.843
_cell_length_b 8.633
_cell_length_c 8.203
_cell_angle_alpha 90.00
_cell_angle_beta 103.73
_cell_angle_gamma 90.00
_space_group_name_H-M_alt 'C 1 2/m 1'
_space_group_IT_number 12
loop_
_space_group_symop_operation_xyz
'x,y,z'
'-x,-y,-z'
'-x,y,-z'
'x,-y,z'
'x+1/2,y+1/2,z'
'-x+1/2,-y+1/2,-z'
'-x+1/2,y+1/2,-z'
'x+1/2,-y+1/2,z'
loop_
_atom_site_label
_atom_site_type_symbol
_atom_site_fract_x
_atom_site_fract_y
_atom_site_fract_z
La1 La 0.000 0.202 0.000
Y1 Y 0.000 0.000 0.500
Y2 Y 0.214 0.300 0.679
Y3 Y 0.226 0.500 0.040
Ho1 Ho 0.055 0.500 0.320
```

## Properties
* mass density: 5.48 Mg/m³
* ΔE to the lowest computed polymorph: 4 meV/atom
* formation energy from the elements: 0.167 eV per atom
* Fermi-level density of states: 1.444 states/eV/atom


[2]
A geometry-optimized Mn4VMo structure. Source: Alexandria via LeMat-Bulk, functional PBE-GGA.

CIF file:
```
data_Mn4VMo
_chemical_formula_sum 'Mn16 V4 Mo4'
_cell_length_a 6.629
_cell_length_b 6.629
_cell_length_c 6.629
_cell_angle_alpha 90.00
_cell_angle_beta 90.00
_cell_angle_gamma 90.00
_space_group_name_H-M_alt 'F -4 3 m'
_space_group_IT_number 216
_space_group_name_Hall 'F -4 2 3'
loop_
_atom_site_label
_atom_site_type_symbol
_atom_site_fract_x
_atom_site_fract_y
_atom_site_fract_z
Mn1 Mn 0.124 0.124 0.376
V1 V 0.250 0.250 0.750
Mo1 Mo 0.000 0.000 0.000
```

## Properties
* mass density: 8.36 Mg/m³
* formation energy from the elements: -0.058 eV per atom
* Fermi-level density of states: 1.735 states/eV/atom


[3]
A geometry-optimized LiSm2Be2O6 structure. Source: Alexandria via LeMat-Bulk, functional PBE-GGA.

CIF file:
```
data_LiSm2Be2O6
_chemical_formula_sum 'Li3 Sm6 Be6 O18'
_cell_length_a 5.2290
_cell_length_b 5.2290
_cell_length_c 15.6031
_cell_angle_alpha 90.00
_cell_angle_beta 90.00
_cell_angle_gamma 120.00
_space_group_name_H-M_alt 'R -3 m'
_space_group_IT_number 166
_space_group_name_Hall '-R 3 2"'
loop_
_atom_site_label
_atom_site_type_symbol
_atom_site_fract_x
_atom_site_fract_y
_atom_site_fract_z
Li1 Li 0.0000 0.0000 0.0000
Sm1 Sm 0.0000 0.0000 0.2122
Be1 Be 0.0000 0.0000 0.4239
O1 O 0.0017 0.5009 0.7582
```

## Properties
* mass density: 5.69 Mg/m³
* uncorrected formation energy: -2472 meV/atom
* Fermi-level density of states: 0.798 states/eV/atom


[4]
A geometry-optimized La5Nd12Si3 structure. Source: Alexandria via LeMat-Bulk, functional PBE-GGA.

CIF file:
```
data_La5Nd12Si3
_chemical_formula_sum 'La40 Nd96 Si24'
_cell_length_a 17.621
_cell_length_b 17.621
_cell_length_c 17.621
_cell_angle_alpha 90.00
_cell_angle_beta 90.00
_cell_angle_gamma 90.00
_space_group_name_H-M_alt 'I a -3 d'
_space_group_IT_number 230
_space_group_name_Hall '-I 4bd 2c 3'
loop_
_atom_site_label
_atom_site_type_symbol
_atom_site_fract_x
_atom_site_fract_y
_atom_site_fract_z
La1 La 0.000 0.000 0.000
La2 La 0.000 0.250 0.375
Nd1 Nd 0.014 0.082 0.659
Si1 Si 0.000 0.250 0.125
```

## Properties
* mass density: 6.09 Mg/m³
* uncorrected formation energy: 518 meV/atom
* Fermi-level density of states: 1.230 states/eV/atom


[5]
A geometry-optimized BaPmZnAg structure. Source: Alexandria via LeMat-Bulk, functional PBE-GGA.

CIF file:
```
data_BaPmZnAg
_chemical_formula_sum 'Ba4 Pm4 Zn4 Ag4'
_cell_length_a 7.784
_cell_length_b 7.784
_cell_length_c 7.784
_cell_angle_alpha 90.00
_cell_angle_beta 90.00
_cell_angle_gamma 90.00
_space_group_name_H-M_alt 'F -4 3 m'
_space_group_IT_number 216
_space_group_name_Hall 'F -4 2 3'
loop_
_atom_site_label
_atom_site_type_symbol
_atom_site_fract_x
_atom_site_fract_y
_atom_site_fract_z
Ba1 Ba 0.000 0.000 0.000
Pm1 Pm 0.000 0.000 0.500
Zn1 Zn 0.250 0.250 0.250
Ag1 Ag 0.250 0.250 0.750
```

## Properties
* mass density: 6.42 Mg/m³
* formation energy from the elements: -0.115 eV per atom
* Fermi-level density of states: 0.860 states/eV/atom


[6]
A geometry-optimized MgTi2Be2 structure. Source: Alexandria via LeMat-Bulk, functional PBE-GGA.

CIF file:
```
data_MgTi2Be2
_chemical_formula_sum 'Mg2 Ti4 Be4'
_cell_length_a 6.801
_cell_length_b 6.801
_cell_length_c 3.089
_cell_angle_alpha 90.00
_cell_angle_beta 90.00
_cell_angle_gamma 90.00
_space_group_name_H-M_alt 'P 4/m b m'
_space_group_IT_number 127
_space_group_name_Hall '-P 4 2ab'
loop_
_atom_site_label
_atom_site_type_symbol
_atom_site_fract_x
_atom_site_fract_y
_atom_site_fract_z
Mg1 Mg 0.000 0.000 0.000
Ti1 Ti 0.176 0.324 0.500
Be1 Be 0.113 0.613 0.000
```

## Properties
* mass density: 3.21 Mg/m³
* formation energy from the elements: 0.018 eV per atom
* Fermi-level density of states: 1.174 states/eV/atom


[7]
A geometry-optimized YRe2Sb2 structure. Source: Alexandria via LeMat-Bulk, functional PBE-GGA.

CIF file:
```
data_YRe2Sb2
_chemical_formula_sum 'Y2 Re4 Sb4'
_cell_length_a 4.786
_cell_length_b 4.786
_cell_length_c 9.755
_cell_angle_alpha 90.00
_cell_angle_beta 90.00
_cell_angle_gamma 90.00
_space_group_name_H-M_alt 'I 4/m m m'
_space_group_IT_number 139
_space_group_name_Hall '-I 4 2'
loop_
_atom_site_label
_atom_site_type_symbol
_atom_site_fract_x
_atom_site_fract_y
_atom_site_fract_z
Y1 Y 0.000 0.000 0.000
Re1 Re 0.000 0.000 0.380
Sb1 Sb 0.000 0.500 0.250
```

## Properties
* mass density: 10.48 Mg/m³
* ΔE to the lowest computed polymorph: 0 meV/atom
* uncorrected formation energy: 53 meV/atom
* Fermi-level density of states: 1.272 states/eV/atom


[8]
A geometry-optimized HoTlBi structure. Source: Alexandria via LeMat-Bulk, functional PBE-GGA.

CIF file:
```
data_HoTlBi
_chemical_formula_sum 'Ho1 Tl1 Bi1'
_cell_length_a 5.4674
_cell_length_b 5.4674
_cell_length_c 3.4251
_cell_angle_alpha 90.00
_cell_angle_beta 90.00
_cell_angle_gamma 120.00
_space_group_name_H-M_alt 'P 3 m 1'
_space_group_IT_number 156
loop_
_space_group_symop_operation_xyz
'x,y,z'
'-y,x-y,z'
'-x+y,-x,z'
'-y,-x,z'
'-x+y,y,z'
'x,x-y,z'
loop_
_atom_site_label
_atom_site_type_symbol
_atom_site_fract_x
_atom_site_fract_y
_atom_site_fract_z
Ho1 Ho 0.0000 0.0000 0.0000
Tl1 Tl 0.6667 0.3333 0.3896
Bi1 Bi 0.3333 0.6667 0.5838
```

## Properties
* mass density: 10.83 Mg/m³
* ΔE to the lowest computed polymorph: 224 meV/atom
* formation energy from the elements: -0.202 eV per atom
* Fermi-level density of states: 0.505 states/eV/atom


[9]
A geometry-optimized Ba2YTl structure. Source: Alexandria via LeMat-Bulk, functional PBE-GGA.

CIF file:
```
data_Ba2YTl
_chemical_formula_sum 'Ba2 Y1 Tl1'
_cell_length_a 6.193
_cell_length_b 6.193
_cell_length_c 4.249
_cell_angle_alpha 90.00
_cell_angle_beta 90.00
_cell_angle_gamma 90.00
_space_group_name_H-M_alt 'P 4/m m m'
_space_group_IT_number 123
_space_group_name_Hall '-P 4 2'
loop_
_atom_site_label
_atom_site_type_symbol
_atom_site_fract_x
_atom_site_fract_y
_atom_site_fract_z
Ba1 Ba 0.000 0.500 0.000
Y1 Y 0.000 0.000 0.500
Tl1 Tl 0.500 0.500 0.500
```

## Properties
* mass density: 5.79 Mg/m³
* ΔE to the lowest computed polymorph: 145 meV/atom
* formation energy from the elements: 0.028 eV per atom
* Fermi-level density of states: 1.225 states/eV/atom


[10]
A geometry-optimized SmH4IrPd2 structure. Source: Alexandria via LeMat-Bulk, functional PBE-GGA.

CIF file:
```
data_SmH4IrPd2
_chemical_formula_sum 'Sm1 H4 Ir1 Pd2'
_cell_length_a 4.510
_cell_length_b 4.516
_cell_length_c 5.230
_cell_angle_alpha 113.84
_cell_angle_beta 114.13
_cell_angle_gamma 93.25
_space_group_name_H-M_alt 'P 1'
_space_group_IT_number 1
loop_
_space_group_symop_operation_xyz
'x,y,z'
loop_
_atom_site_label
_atom_site_type_symbol
_atom_site_fract_x
_atom_site_fract_y
_atom_site_fract_z
Sm1 Sm 0.000 0.000 0.000
H1 H 0.122 0.547 0.097
H2 H 0.438 0.453 0.590
H3 H 0.450 0.025 0.903
H4 H 0.868 0.854 0.410
Ir1 Ir 0.256 0.755 0.500
Pd1 Pd 0.500 0.498 0.000
Pd2 Pd 0.753 0.255 0.500
```

## Properties
* mass density: 10.84 Mg/m³
* calculated total energy: -5.0431 eV per atom
* Fermi-level density of states: 0.180 states/eV/atom